# Ce2In8Fe (GGA-PBE, optimized geometry)
# Total magnetization = 3.08 μB/f.u.
# Fermi-level density of states = 14.9 states/eV/cell
# Total DFT energy (no corrections) = -4.10 eV/atom
# Volume = 24.5 Å³ per atom
data_Ce2In8Fe
_chemical_formula_sum 'Ce2 In8 Fe1'
_symmetry_space_group_name_H-M 'P 4/m m m'
_symmetry_Int_Tables_number 123
_symmetry_space_group_name_Hall '-P 4 2'
_cell_length_a 4.6790
_cell_length_b 4.6790
_cell_length_c 12.3067
_cell_angle_alpha 90.00
_cell_angle_beta 90.00
_cell_angle_gamma 90.00
loop_
_atom_site_label
_atom_site_fract_x
_atom_site_fract_y
_atom_site_fract_z
_atom_site_occupancy
Ce1 0.0000 0.0000 0.1942 1
In1 0.0000 0.5000 0.0000 1
In2 0.0000 0.5000 0.3804 1
In3 0.5000 0.5000 0.1914 1
Fe1 0.0000 0.0000 0.5000 1